First-principles (PBE) data for a relaxed structure of K2LaIn, as listed in Alexandria.

Output
**Symmetry**: Cmmm (65)
**Crystal system**: orthorhombic

a = 3.6792 Å, b = 3.6792 Å, c = 13.6147 Å
α = 90.00°, β = 90.00°, γ = 114.47°
Last column: nearest neighbours and their distance in Å.
Positions (direct):
In (0.5000, 0.5000, 0.7500)  6 In 3.68-3.98, 4 K 3.68
La (0.5000, 0.5000, 0.2500)  6 La 3.68-3.98
K (0.0000, 0.0000, 0.5223)  6 K 3.68-3.98, 2 In 3.68
K (0.0000, 0.0000, 0.9777)  6 K 3.68-3.98, 2 In 3.68



First-principles (PBE) data for a relaxed structure of K2LaIn, as listed in Alexandria.

Output
**Symmetry**: I4/mmm (139)
**Crystal system**: tetragonal

a = 7.4535 Å, b = 7.4535 Å, c = 7.4535 Å
α = 141.21°, β = 141.21°, γ = 56.02°
Last column: nearest neighbours and their distance in Å.
Positions (direct):
K (0.5000, 0.5000, 0.0000)  4 K 3.50
K (0.0000, 0.0000, 0.0000)  4 K 3.50
La (0.7500, 0.2500, 0.5000)  4 In 3.50
In (0.2500, 0.7500, 0.5000)  4 La 3.50



First-principles (PBE) data for a relaxed structure of K2LaIn, as listed in Alexandria.

Output
**Symmetry**: F-43m (216)
**Crystal system**: cubic

a = 5.9729 Å, b = 5.9729 Å, c = 5.9729 Å
α = 60.00°, β = 60.00°, γ = 60.00°
Last column: nearest neighbours and their distance in Å.
Positions (direct):
La (0.7500, 0.7500, 0.7500)  4 K 3.66, 4 In 3.66
In (0.5000, 0.5000, 0.5000)  4 K 3.66, 4 La 3.66
K (0.2500, 0.2500, 0.2500)  4 In 3.66, 4 K 3.66
K (0.0000, 0.0000, 0.0000)  4 La 3.66, 4 K 3.66



First-principles (PBE) data for a relaxed structure of KLa2In, as listed in Alexandria.

Output
**Symmetry**: P4/mmm (123)
**Crystal system**: tetragonal

a = 3.7092 Å, b = 3.7092 Å, c = 11.7270 Å
α = 90.00°, β = 90.00°, γ = 90.01°
Last column: nearest neighbours and their distance in Å.
Positions (direct):
La (0.0000, 0.0000, 0.4308)  4 In 3.37, 4 La 3.71
La (0.0000, 0.0000, 0.0692)  4 In 3.37, 4 La 3.71
In (0.5000, 0.5000, 0.2500)  8 La 3.37, 4 In 3.71
K (0.5000, 0.5000, 0.7500)  4 K 3.71



First-principles (PBE) data for a relaxed structure of K2LaIn2, as listed in Alexandria.

Output
**Energy above the most stable polymorph in this dataset**: 236 meV per atom
**Symmetry**: I4/mmm (139)
**Crystal system**: tetragonal

a = 6.0245 Å, b = 6.0245 Å, c = 6.7656 Å
α = 63.56°, β = 63.56°, γ = 90.00°
Last column: nearest neighbours and their distance in Å.
Positions (direct):
In (0.2500, 0.7500, 0.5000)  4 K 3.24
In (0.7500, 0.2500, 0.5000)  4 K 3.24
K (0.6356, 0.6356, 0.7288)  1 K 2.85
K (0.3644, 0.3644, 0.2712)  1 K 2.85
La (0.0000, 0.0000, 0.0000)  2 K 3.83, 8 In 4.00



First-principles (PBE) data for a relaxed structure of K2LaIn, as listed in Alexandria.

Output
**Symmetry**: Cmmm (65)
**Crystal system**: orthorhombic

a = 7.4245 Å, b = 7.4245 Å, c = 3.5819 Å
α = 90.00°, β = 90.00°, γ = 122.49°
Last column: nearest neighbours and their distance in Å.
Positions (direct):
La (0.5000, 0.0000, 0.5000)  2 In 3.57, 2 La 3.58
K (0.5000, 0.5000, 0.0000)  4 K 3.57-3.58
K (0.0000, 0.0000, 0.0000)  4 K 3.57-3.58
In (0.0000, 0.5000, 0.5000)  2 La 3.57, 2 In 3.58



First-principles (PBE) data for a relaxed structure of K2LaIn, as listed in Alexandria.

Output
**Symmetry**: Cm (8)
**Crystal system**: monoclinic

a = 5.6732 Å, b = 5.6732 Å, c = 9.2371 Å
α = 84.32°, β = 84.32°, γ = 40.06°
Last column: nearest neighbours and their distance in Å.
Positions (direct):
In (0.2477, 0.2477, 0.3032)  3 La 3.21-3.26
K (0.7524, 0.7524, 0.7176)  3 La 3.81-4.19, 3 K 3.89-4.09
K (0.9778, 0.9778, 0.0497)  3 In 3.75-3.90, 3 K 3.89-4.09, 2 La 4.08
La (0.5221, 0.5221, 0.4295)  3 In 3.21-3.26



First-principles (PBE) data for a relaxed structure of KLa2In, as listed in Alexandria.

Output
**Symmetry**: Pmmm (47)
**Crystal system**: orthorhombic

a = 3.7856 Å, b = 4.5427 Å, c = 9.6282 Å
α = 90.00°, β = 90.00°, γ = 90.00°
Last column: nearest neighbours and their distance in Å.
Positions (direct):
K (0.5000, 0.5000, 0.7500)  2 K 3.79
In (0.5000, 0.5000, 0.2500)  8 La 3.35
La (0.0000, 0.0000, 0.4137)  1 La 3.15, 4 In 3.35
La (0.0000, 0.0000, 0.0863)  1 La 3.15, 4 In 3.35



First-principles (PBE) data for a relaxed structure of KLa2In, as listed in Alexandria.

Output
**Symmetry**: P2/m (10)
**Crystal system**: monoclinic

a = 5.8603 Å, b = 3.5170 Å, c = 6.9330 Å
α = 84.77°, β = 90.00°, γ = 90.00°
Last column: nearest neighbours and their distance in Å.
Positions (direct):
K (0.5000, 0.7500, 0.7500)  2 K 3.52, 4 La 3.72, 2 In 3.74
La (0.0000, 0.9817, 0.0473)  1 La 3.12, 2 In 3.42
La (0.0000, 0.5183, 0.4527)  1 La 3.12, 2 In 3.42
In (0.5000, 0.2500, 0.2500)  4 La 3.42, 2 In 3.52, 2 K 3.74



First-principles (PBE) data for a relaxed structure of KLa2In, as listed in Alexandria.

Output
**Symmetry**: Cmm2 (35)
**Crystal system**: orthorhombic

a = 3.6016 Å, b = 3.6016 Å, c = 12.5739 Å
α = 90.00°, β = 90.00°, γ = 113.56°
Last column: nearest neighbours and their distance in Å.
Positions (direct):
La (0.5000, 0.5000, 0.2630)  2 In 3.41, 6 La 3.55-3.60
La (0.0000, 0.0000, 0.0286)  8 La 3.55-3.95
In (0.0000, 0.0000, 0.4840)  2 La 3.41, 4 In 3.60, 2 K 3.61
K (0.5000, 0.5000, 0.7244)  6 K 3.60-3.95, 2 In 3.61



First-principles (PBE) data for a relaxed structure of K2LaIn2, as listed in Alexandria.

Output
**Energy above the most stable polymorph in this dataset**: 57 meV per atom
**Symmetry**: P4/mbm (127)
**Crystal system**: tetragonal

a = 10.0540 Å, b = 10.0540 Å, c = 3.4845 Å
α = 90.00°, β = 90.00°, γ = 90.00°
Last column: nearest neighbours and their distance in Å.
Positions (direct):
La (0.0000, 0.0000, 0.0000)  2 La 3.48
La (0.5000, 0.5000, 0.0000)  2 La 3.48
K (0.8817, 0.6183, 0.0000)  6 In 3.31-3.56, 3 K 3.37-3.48
K (0.1183, 0.3817, 0.0000)  6 In 3.31-3.56, 3 K 3.37-3.48
K (0.3817, 0.8817, 0.0000)  6 In 3.31-3.56, 3 K 3.37-3.48
K (0.6183, 0.1183, 0.0000)  6 In 3.31-3.56, 3 K 3.37-3.48
In (0.3164, 0.1836, 0.5000)  6 K 3.31-3.56, 2 In 3.48
In (0.6836, 0.8164, 0.5000)  6 K 3.31-3.56, 2 In 3.48
In (0.8164, 0.3164, 0.5000)  6 K 3.31-3.56, 2 In 3.48
In (0.1836, 0.6836, 0.5000)  6 K 3.31-3.56, 2 In 3.48



First-principles (PBE) data for a relaxed structure of KLa2In, as listed in Alexandria.

Output
**Symmetry**: Cm (8)
**Crystal system**: monoclinic

a = 6.2193 Å, b = 6.2193 Å, c = 6.9038 Å
α = 82.48°, β = 82.48°, γ = 33.58°
Last column: nearest neighbours and their distance in Å.
Positions (direct):
La (0.0040, 0.0040, 0.9482)  5 La 3.30-3.70, 2 In 3.45
La (0.7664, 0.7664, 0.7504)  5 La 3.30-3.70, 2 In 3.45
In (0.4948, 0.4948, 0.5244)  5 La 3.45-3.78, 2 In 3.59, 3 K 3.60-3.73
K (0.2348, 0.2348, 0.2769)  2 K 3.59, 3 In 3.60-3.73, 3 La 3.79-3.80



Total energy
In order: -2.206 -2.304 -2.304 -3.486 -2.219 -2.175 -2.350 -3.476 -3.378 -3.347 -2.397 -3.318
Unit: eV per atom
Volume
In order: 167.7 161.2 150.7 161.3 190.8 166.5 190.3 165.6 142.3 149.5 352.2 146.3
Unit: Å³ per cell
Energy of formation
In order: 0.260 0.161 0.161 -0.064 0.301 0.290 0.115 -0.053 0.045 0.076 0.123 0.104
Unit: eV per atom